No. 1
# Mn2VBH | the Alexandria database | PBE-GGA | optimized geometry
data_Mn2VBH
_chemical_formula_sum 'Mn2 V1 B1 H1'
_cell_length_a 4.309
_cell_length_b 4.309
_cell_length_c 2.992
_cell_angle_alpha 90.00
_cell_angle_beta 90.00
_cell_angle_gamma 90.00
_symmetry_space_group_name_H-M 'P 4/m m m'
_symmetry_Int_Tables_number 123
_symmetry_space_group_name_Hall '-P 4 2'
loop_
_atom_site_label
_atom_site_type_symbol
_atom_site_fract_x
_atom_site_fract_y
_atom_site_fract_z
Mn1 Mn 0.000 0.500 0.000
V1 V 0.000 0.000 0.000
B1 B 0.500 0.500 0.500
H1 H 0.000 0.000 0.500
# E_tot   -6.286 eV/atom

***

No. 2
# Er4GeHS2 | the Alexandria database | PBE-GGA | optimized geometry
data_Er4GeHS2
_chemical_formula_sum 'Er16 Ge4 H4 S8'
_cell_length_a 7.749
_cell_length_b 11.035
_cell_length_c 7.810
_cell_angle_alpha 90.00
_cell_angle_beta 90.00
_cell_angle_gamma 90.00
_symmetry_space_group_name_H-M 'F m m 2'
_symmetry_Int_Tables_number 42
_symmetry_space_group_name_Hall 'F 2 -2'
loop_
_atom_site_label
_atom_site_type_symbol
_atom_site_fract_x
_atom_site_fract_y
_atom_site_fract_z
Er1 Er 0.000 0.249 0.000
Er2 Er 0.231 0.000 0.738
Ge1 Ge 0.000 0.000 0.008
H1 H 0.000 0.000 0.545
S1 S 0.250 0.250 0.249
# E_tot   -5.555 eV/atom

***

No. 3
# HgP4Os | the Alexandria database | PBE-GGA | optimized geometry
data_HgP4Os
_chemical_formula_sum 'Hg4 P16 Os4'
_cell_length_a 7.243
_cell_length_b 7.243
_cell_length_c 7.243
_cell_angle_alpha 90.00
_cell_angle_beta 90.00
_cell_angle_gamma 90.00
_symmetry_space_group_name_H-M 'F -4 3 m'
_symmetry_Int_Tables_number 216
_symmetry_space_group_name_Hall 'F -4 2 3'
loop_
_atom_site_label
_atom_site_type_symbol
_atom_site_fract_x
_atom_site_fract_y
_atom_site_fract_z
Hg1 Hg 0.000 0.000 0.000
P1 P 0.122 0.122 0.622
Os1 Os 0.250 0.250 0.250
# E_tot   -4.395 eV/atom

***

No. 4
# Nd8BC3Br4 | the Alexandria database | PBE-GGA | optimized geometry
data_Nd8BC3Br4
_chemical_formula_sum 'Nd24 B3 C9 Br12'
_cell_length_a 7.7340
_cell_length_b 7.7340
_cell_length_c 22.3406
_cell_angle_alpha 90.00
_cell_angle_beta 90.00
_cell_angle_gamma 120.00
_symmetry_space_group_name_H-M 'R -3 m'
_symmetry_Int_Tables_number 166
_symmetry_space_group_name_Hall '-R 3 2"'
loop_
_atom_site_label
_atom_site_type_symbol
_atom_site_fract_x
_atom_site_fract_y
_atom_site_fract_z
Nd1 Nd 0.0000 0.0000 0.2274
Nd2 Nd 0.0060 0.5030 0.7713
B1 B 0.0000 0.0000 0.5000
C1 C 0.0000 0.5000 0.5000
Br1 Br 0.0000 0.0000 0.0000
Br2 Br 0.0000 0.5000 0.0000
# Energy relative to the elements, uncorrected   -0.841 eV per atom